Crystalline H2S4I3 at its relaxed geometry. Source: the Alexandria database, functional GGA-PBE.

Summary:
**Total energy**: -55.34 eV/cell
**Density of states at the Fermi level**: 4.1 states/eV/f.u.
**Magnetic moment**: 0.5 μB per cell

Unit cell a=18.7365 b=6.5511 c=6.5511 alpha=98.00 beta=67.09 gamma=67.09
With the nearest neighbours (Å) after each atom.
Fractional positions:
I 0.7716 0.7623 0.8449  1 H 2.89, 2 I 2.94-2.97
I 0.2500 0.4777 0.5223  2 I 2.94
I 0.7500 0.5223 0.4777  2 I 2.94
I 0.2716 0.8449 0.7623  1 H 2.89, 2 I 2.94-2.97
I 0.2284 0.2377 0.1551  1 H 2.89, 2 I 2.94-2.97
I 0.7284 0.1551 0.2377  1 H 2.89, 2 I 2.94-2.97
H 0.4203 0.8850 0.4444  1 S 1.37
H 0.9203 0.4444 0.8850  1 S 1.37
H 0.0797 0.5556 0.1150  1 S 1.37
H 0.5797 0.1150 0.5556  1 S 1.37
S 0.9671 0.8958 0.5197  2 S 2.02-2.15
S 0.5329 0.4803 0.1042  2 S 2.02-2.15
S 0.4671 0.5197 0.8958  2 S 2.02-2.15
S 0.0002 0.7474 0.1814  1 H 1.37
S 0.4998 0.8186 0.2526  1 H 1.37
S 0.0329 0.1042 0.4803  2 S 2.02-2.15
S 0.9998 0.2526 0.8186  1 H 1.37
S 0.5002 0.1814 0.7474  1 H 1.37

Crystalline H3SI at its relaxed geometry. Source: the Alexandria database, functional GGA-PBE.

Summary:
**Relative energy among the computed polymorphs**: 922 meV/atom
**Density of states at the Fermi level**: 1.9 states/eV/f.u.
**Magnetic moment**: 0.0 μB per cell

Unit cell a=3.8291 b=3.8291 c=3.8291 alpha=90.00 beta=90.00 gamma=90.00
With the nearest neighbours (Å) after each atom.
Fractional positions:
H 0.0000 0.5000 0.0000  2 S 1.91
H 0.5000 0.0000 0.0000  2 S 1.91
H 0.0000 0.0000 0.5000  2 S 1.91
S 0.0000 0.0000 0.0000  6 H 1.91
I 0.5000 0.5000 0.5000  12 H 2.71

Crystalline Sb2HSI at its relaxed geometry. Source: the Alexandria database, functional GGA-PBE.

Summary:
**Relative energy among the computed polymorphs**: 0 meV/atom
**Density of states at the Fermi level**: 2.3 states/eV/f.u.
**Magnetic moment**: 0.0 μB per cell

Unit cell a=4.9249 b=4.9249 c=4.4485 alpha=90.00 beta=90.00 gamma=90.00
With the nearest neighbours (Å) after each atom.
Fractional positions:
S 0.5000 0.5000 0.5000  8 Sb 3.32, 4 I 3.48
H 0.0000 0.0000 0.0000  2 I 2.22, 4 Sb 2.46
Sb 0.5000 0.0000 0.0000  2 H 2.46
Sb 0.0000 0.5000 0.0000  2 H 2.46
I 0.0000 0.0000 0.5000  2 H 2.22

Crystalline Tb2H2SI at its relaxed geometry. Source: the Alexandria database, functional GGA-PBE.

Summary:
**Total energy**: -28.72 eV/cell
**Density of states at the Fermi level**: 1.8 states/eV/f.u.
**Magnetic moment**: 0.0 μB per cell

Unit cell a=3.8320 b=3.8320 c=8.5668 alpha=90.00 beta=90.00 gamma=120.00
With the nearest neighbours (Å) after each atom.
Fractional positions:
Tb 0.3333 0.6667 0.6994  3 H 2.24
Tb 0.6667 0.3333 0.3006  3 H 2.24
H 0.3333 0.6667 0.2618  3 Tb 2.24
H 0.6667 0.3333 0.7382  3 Tb 2.24
I 0.0000 0.0000 0.0000  6 H 3.15, 6 Tb 3.40
S 0.0000 0.0000 0.5000  6 Tb 2.79, 6 H 3.01

Question: Which of these has the lowest density of states at the Fermi level?
Answer: Tb2H2SI